Entry 1:
A plane-wave DFT calculation with PBE was carried out for a geometry-optimized LaCe3Sm3Te8 structure.

Calculated values
VASP energy: -5.568 eV per atom
SG: No. 12
Total magnetization: 0.08 μB per atom

Unit cell a=8.948 b=8.931 c=8.910 alpha=120.08 beta=90.01 gamma=119.94
Each line ends with the local moment (μB).
Fractional positions:
La 0.000 0.000 0.500  0.02
Ce 0.500 0.000 0.500  0.96
Ce 0.500 0.500 0.500  0.96
Ce 0.000 0.500 0.500  -0.94
Sm 0.000 0.000 0.000  0.01
Sm 0.000 0.500 0.000  0.01
Sm 0.500 0.500 0.000  0.00
Te 0.249 0.498 0.246  0.00
Te 0.751 0.502 0.754  0.00
Te 0.741 0.482 0.239  0.00
Te 0.259 0.518 0.761  0.00
Te 0.741 0.998 0.239  0.00
Te 0.259 0.002 0.761  0.00
Te 0.256 0.997 0.239  -0.01
Te 0.744 0.003 0.761  -0.01

---

Entry 2:
A plane-wave DFT calculation with PBE was carried out for a geometry-optimized LiTbPr2Tl4 structure.

Calculated values
VASP energy: -3.545 eV per atom
E_form: -349 meV/atom
SG: No. 166
Total magnetization: 0.00 μB per atom

Unit cell a=5.344 b=5.344 c=9.578 alpha=73.80 beta=73.80 gamma=60.00
Fractional positions:
Li 0.500 0.500 0.500
Tb 0.000 0.000 0.000
Pr 0.756 0.756 0.731
Pr 0.244 0.244 0.269
Tl 0.375 0.375 0.876
Tl 0.874 0.874 0.377
Tl 0.126 0.126 0.623
Tl 0.625 0.625 0.124

---

Entry 3:
A plane-wave DFT calculation with PBE was carried out for a geometry-optimized PrAgGe2 structure.

Calculated values
VASP energy: -4.593 eV per atom
E_form: -377 meV/atom
SG: No. 166
Total magnetization: 0.00 μB per atom

Unit cell a=4.400 b=4.400 c=5.833 alpha=67.84 beta=67.84 gamma=60.00
Fractional positions:
Pr 0.000 0.000 0.000
Ge 0.775 0.775 0.674
Ge 0.225 0.225 0.326
Ag 0.500 0.500 0.500

---

Entry 4:
A plane-wave DFT calculation with PBE was carried out for a geometry-optimized K2ThI2Br4 structure.

Calculated values
VASP energy: -3.755 eV per atom
SG: No. 139
Total magnetization: 0.00 μB per atom

Unit cell a=8.268 b=8.268 c=8.268 alpha=85.76 beta=122.48 gamma=122.48
Fractional positions:
K 0.500 0.750 0.250
K 0.500 0.250 0.750
Th 0.000 0.000 0.000
I 0.000 0.743 0.743
I 0.000 0.257 0.257
Br 0.000 0.749 0.251
Br 0.498 0.749 0.749
Br 0.000 0.251 0.749
Br 0.502 0.251 0.251

---

Entry 5:
A plane-wave DFT calculation with PBE was carried out for a geometry-optimized CeThAlAg structure.

Calculated values
VASP energy: -5.090 eV per atom
E_form: -103 meV/atom
SG: No. 216
Total magnetization: 0.28 μB per atom

Unit cell a=5.268 b=5.268 c=5.268 alpha=60.00 beta=60.00 gamma=60.00
Each line ends with the local moment (μB).
Fractional positions:
Ag 0.750 0.750 0.750  0.01
Ce 0.500 0.500 0.500  0.70
Th 0.000 0.000 0.000  0.13
Al 0.250 0.250 0.250  -0.01

---

Entry 6:
A plane-wave DFT calculation with PBE was carried out for a geometry-optimized Th2AsAu structure.

Calculated values
VASP energy: -6.569 eV per atom
E_form: -878 meV/atom
SG: No. 160
Total magnetization: 0.00 μB per atom

Unit cell a=4.067 b=4.067 c=8.118 alpha=75.49 beta=75.49 gamma=60.00
Fractional positions:
Th 0.078 0.078 0.767
Th 0.255 0.255 0.235
As 0.668 0.668 0.997
Au 0.499 0.499 0.502

---

Entry 7:
A plane-wave DFT calculation with PBE was carried out for a geometry-optimized Tm2Zn3In3 structure.

Calculated values
VASP energy: -2.921 eV per atom
E_form: -298 meV/atom
SG: No. 47
Total magnetization: 0.00 μB per atom

Unit cell a=4.369 b=4.416 c=8.841 alpha=90.00 beta=90.00 gamma=90.00
Fractional positions:
Tm 0.000 0.000 0.756
Tm 0.000 0.000 0.244
Zn 0.500 0.500 0.762
Zn 0.500 0.500 0.238
Zn 0.500 0.000 0.000
In 0.500 0.000 0.500
In 0.000 0.500 0.000
In 0.000 0.500 0.500

---

Entry 8:
A plane-wave DFT calculation with PBE was carried out for a geometry-optimized TePdRh structure.

Calculated values
VASP energy: -5.300 eV per atom
SG: No. 198
Total magnetization: 0.00 μB per atom

Unit cell a=6.218 b=6.218 c=6.218 alpha=90.00 beta=90.00 gamma=90.00
Fractional positions:
Te 0.543 0.543 0.543
Te 0.957 0.457 0.043
Te 0.043 0.957 0.457
Te 0.457 0.043 0.957
Pd 0.305 0.305 0.305
Pd 0.195 0.695 0.805
Pd 0.805 0.195 0.695
Pd 0.695 0.805 0.195
Rh 0.046 0.046 0.046
Rh 0.454 0.954 0.546
Rh 0.546 0.454 0.954
Rh 0.954 0.546 0.454